Record 1
Density functional theory data (PBE) for Lu3Hg after structural relaxation.

Properties
E above lowest polymorph: 0.29 eV/f.u.
calculated density: 11.53 Mg/m³
magnetization: 0.00 μB/f.u.
ΔH_f (0 K): -0.151 eV/atom
crystal system: cubic

a b c (Å): 4.709 4.709 4.709
angles (deg): 90.00 90.00 90.00
Fractional coordinates of all 4 atoms:
Hg 0.000 0.000 0.000
Lu 0.000 0.500 0.500
Lu 0.500 0.000 0.500
Lu 0.500 0.500 0.000


Record 2
Density functional theory data (PBE) for Lu3Hg after structural relaxation.

Properties
E above lowest polymorph: 0.00 eV/f.u.
calculated density: 11.22 Mg/m³
magnetization: 0.00 μB/f.u.
ΔH_f (0 K): -0.223 eV/atom
crystal system: orthorhombic

a b c (Å): 3.720 5.202 6.405
angles (deg): 113.96 106.88 90.00
Fractional coordinates of all 4 atoms:
Lu 0.279 0.696 0.558
Lu 0.721 0.138 0.442
Lu 0.500 0.417 0.000
Hg 0.000 0.916 0.000